Density functional theory data (PBE-GGA) for a relaxed structure of PaMnSi2.

Computed properties:
As for the mass density: 8.64 g/cm3. For the total energy, the calculation gives -7.98 eV/atom. The uncorrected formation energy comes out at -0.60 eV per atom.

Cell and atoms, written as extended XYZ:
```
16
Lattice="-2.379 -3.239 0.529 4.623 -3.808 -2.527 3.865 -1.352 9.106" Properties=species:S:1:pos:R:3 pbc="T T T"
Pa 2.833 -5.547 2.077
Pa -0.443 -3.305 1.068
Pa 3.275 -2.852 5.031
Pa 6.551 -5.094 6.040
Mn 0.938 -1.358 3.670
Mn 5.171 -7.041 3.438
Mn 2.167 -2.883 -0.143
Mn 3.941 -5.516 7.251
Si 1.716 -5.160 -0.584
Si 4.393 -3.239 7.692
Si 0.694 -3.707 3.719
Si 5.415 -4.692 3.390
Si 2.043 -4.079 7.511
Si 2.300 -2.607 2.147
Si 3.809 -5.792 4.961
Si 4.065 -4.320 -0.403
```